[1]
A relaxed HoPbS2 crystal. Source: Alexandria, functional PBE.

Unit cell a=3.8519 b=3.8519 c=23.7729 alpha=90.00 beta=90.00 gamma=120.00
Fractional positions:
Ho: 0.0000 0.0000 0.0000
Ho: 0.3333 0.6667 0.6667
Ho: 0.6667 0.3333 0.3333
Pb: 0.0000 0.0000 0.8334
Pb: 0.3333 0.6667 0.5001
Pb: 0.6667 0.3333 0.1667
S: 0.0000 0.0000 0.3985
S: 0.0000 0.0000 0.6008
S: 0.3333 0.6667 0.0652
S: 0.3333 0.6667 0.2675
S: 0.6667 0.3333 0.7319
S: 0.6667 0.3333 0.9342

Energy above the most stable polymorph in this dataset in meV per atom: 0
ΔE_f (raw) in eV per atom: -1.313
N(E_F) in states/eV/atom: 0.146
E_tot in eV per cell: -65.38
Spin magnetization in μB/cell: 0.00

[2]
A relaxed Ho4Pb2S crystal. Source: Alexandria, functional PBE.

Unit cell a=5.0392 b=5.0392 c=16.0734 alpha=90.00 beta=90.00 gamma=90.00
Fractional positions:
Ho: 0.0000 0.0000 0.1668
Ho: 0.0000 0.0000 0.8332
Ho: 0.0000 0.5000 0.0000
Ho: 0.0000 0.5000 0.5000
Ho: 0.5000 0.0000 0.0000
Ho: 0.5000 0.0000 0.5000
Ho: 0.5000 0.5000 0.3332
Ho: 0.5000 0.5000 0.6668
Pb: 0.0000 0.0000 0.3612
Pb: 0.0000 0.0000 0.6388
Pb: 0.5000 0.5000 0.1388
Pb: 0.5000 0.5000 0.8612
S: 0.0000 0.0000 0.0000
S: 0.5000 0.5000 0.5000

ΔE_f (raw) in eV per atom: -0.752
N(E_F) in states/eV/atom: 0.558
E_tot in eV per cell: -70.24
Spin magnetization in μB/cell: 0.00

[3]
A relaxed Ho3SbPbS crystal. Source: Alexandria, functional PBE.

Unit cell a=9.1531 b=4.1717 c=10.2656 alpha=90.00 beta=92.22 gamma=90.00
Fractional positions:
Ho: 0.1131 0.2500 0.3786
Ho: 0.3605 0.2500 0.0815
Ho: 0.3612 0.7500 0.6450
Ho: 0.6388 0.2500 0.3550
Ho: 0.6395 0.7500 0.9185
Ho: 0.8869 0.7500 0.6214
Sb: 0.1220 0.2500 0.6749
Sb: 0.8780 0.7500 0.3251
Pb: 0.3658 0.7500 0.3230
Pb: 0.6342 0.2500 0.6770
S: 0.3524 0.7500 0.9205
S: 0.6476 0.2500 0.0795

ΔE_f (raw) in eV per atom: -0.965
N(E_F) in states/eV/atom: 0.254
E_tot in eV per cell: -62.96
Spin magnetization in μB/cell: 0.00